Record 1
# CaAcAgGe (PBE, relaxed)
# Space group: F-43m
# ΔE_f, eV/atom: -0.51
data_CaAcAgGe
_chemical_formula_sum 'Ca1 Ac1 Ag1 Ge1'
_cell_length_a 5.396
_cell_length_b 5.396
_cell_length_c 5.396
_cell_angle_alpha 60.00
_cell_angle_beta 60.00
_cell_angle_gamma 60.00
_space_group_name_H-M_alt 'P 1'
_space_group_IT_number 1
loop_
_space_group_symop_operation_xyz
'x,y,z'
loop_
_atom_site_label
_atom_site_fract_x
_atom_site_fract_y
_atom_site_fract_z
Ca1 0.000 0.000 0.000
Ac1 0.500 0.500 0.500
Ag1 0.250 0.250 0.250
Ge1 0.750 0.750 0.750

Record 2
# USbPd14 (PBE, relaxed)
# Space group: P4/mmm
# Energy relative to the elements, uncorrected, eV/atom: -0.284
data_USbPd14
_chemical_formula_sum 'U1 Sb1 Pd14'
_cell_length_a 5.769
_cell_length_b 5.769
_cell_length_c 7.776
_cell_angle_alpha 90.00
_cell_angle_beta 90.00
_cell_angle_gamma 90.00
_space_group_name_H-M_alt 'P 1'
_space_group_IT_number 1
loop_
_space_group_symop_operation_xyz
'x,y,z'
loop_
_atom_site_label
_atom_site_fract_x
_atom_site_fract_y
_atom_site_fract_z
U1 0.000 0.000 0.000
Sb1 0.500 0.500 0.000
Pd1 0.000 0.000 0.500
Pd2 0.000 0.500 0.000
Pd3 0.000 0.500 0.500
Pd4 0.248 0.248 0.249
Pd5 0.248 0.248 0.751
Pd6 0.248 0.752 0.249
Pd7 0.248 0.752 0.751
Pd8 0.500 0.000 0.000
Pd9 0.500 0.000 0.500
Pd10 0.500 0.500 0.500
Pd11 0.752 0.248 0.249
Pd12 0.752 0.248 0.751
Pd13 0.752 0.752 0.249
Pd14 0.752 0.752 0.751

Record 3
# HgP2Ru (PBE, relaxed)
# Space group: Cmmm
# ΔE_f, eV/atom: 0.63
data_HgP2Ru
_chemical_formula_sum 'Hg1 P2 Ru1'
_cell_length_a 4.503
_cell_length_b 4.503
_cell_length_c 3.257
_cell_angle_alpha 90.00
_cell_angle_beta 90.00
_cell_angle_gamma 103.13
_space_group_name_H-M_alt 'P 1'
_space_group_IT_number 1
loop_
_space_group_symop_operation_xyz
'x,y,z'
loop_
_atom_site_label
_atom_site_fract_x
_atom_site_fract_y
_atom_site_fract_z
Hg1 0.000 0.000 0.000
P1 0.000 0.500 0.500
P2 0.500 0.000 0.500
Ru1 0.500 0.500 0.000

no.,magnetization (Bohr magnetons per cell),calculated volume (Å³/atom),E_tot (eV/atom)
1,0.00,27.8,-3.902
2,0.23,16.2,-5.791
3,0.00,16.1,-4.473